Record 1
Density functional theory data (GGA-PBE) for an optimized crystal structure of Sc4CoCu.

For the distance to the lowest polymorph of the same formula, the calculation gives 0 meV/atom. As for the energy of formation from the pure elements: -0.1876 eV per atom. As for the space group: P4/mmm, No. 123.

Cell and atoms, written as CIF:
```
data_Sc4CoCu
_cell_length_a 3.190
_cell_length_b 3.190
_cell_length_c 11.475
_cell_angle_alpha 90.00
_cell_angle_beta 90.00
_cell_angle_gamma 90.00
_symmetry_space_group_name_H-M 'P 1'
_symmetry_Int_Tables_number 1
loop_
_symmetry_equiv_pos_as_xyz
'x,y,z'
loop_
_atom_site_label
_atom_site_type_symbol
_atom_site_fract_x
_atom_site_fract_y
_atom_site_fract_z
Sc1 Sc 0.500 0.500 0.856
Sc2 Sc 0.000 0.000 0.369
Cu1 Cu 0.000 0.000 0.000
Co1 Co 0.500 0.500 0.500
Sc3 Sc 0.500 0.500 0.144
Sc4 Sc 0.000 0.000 0.631
```

Record 2
Density functional theory data (GGA-PBE) for an optimized crystal structure of CaZrTlAg.

As for the energy of formation from the pure elements: -0.0707 eV per atom. As for the space group: F-43m, No. 216.

Cell and atoms, written as CIF:
```
data_CaZrTlAg
_cell_length_a 5.142
_cell_length_b 5.142
_cell_length_c 5.142
_cell_angle_alpha 60.00
_cell_angle_beta 60.00
_cell_angle_gamma 60.00
_symmetry_space_group_name_H-M 'P 1'
_symmetry_Int_Tables_number 1
loop_
_symmetry_equiv_pos_as_xyz
'x,y,z'
loop_
_atom_site_label
_atom_site_type_symbol
_atom_site_fract_x
_atom_site_fract_y
_atom_site_fract_z
Zr1 Zr 0.000 0.000 0.000
Ca1 Ca 0.500 0.500 0.500
Tl1 Tl 0.750 0.750 0.750
Ag1 Ag 0.250 0.250 0.250
```

Record 3
Density functional theory data (GGA-PBE) for an optimized crystal structure of CeCdNi5.

As for the energy of formation from the pure elements: -0.2473 eV per atom. As for the space group: Pnma, No. 62.

Cell and atoms, written as CIF:
```
data_CeCdNi5
_cell_length_a 4.851
_cell_length_b 8.125
_cell_length_c 10.369
_cell_angle_alpha 90.00
_cell_angle_beta 90.00
_cell_angle_gamma 90.00
_symmetry_space_group_name_H-M 'P 1'
_symmetry_Int_Tables_number 1
loop_
_symmetry_equiv_pos_as_xyz
'x,y,z'
loop_
_atom_site_label
_atom_site_type_symbol
_atom_site_fract_x
_atom_site_fract_y
_atom_site_fract_z
Ce1 Ce 0.750 0.245 0.440
Ni1 Ni 0.250 0.951 0.109
Ni2 Ni 0.000 0.570 0.812
Cd1 Cd 0.750 0.635 0.363
Ni3 Ni 0.250 0.186 0.261
Cd2 Cd 0.750 0.135 0.137
Ni4 Ni 0.750 0.916 0.517
Ni5 Ni 0.000 0.070 0.688
Ni6 Ni 0.750 0.549 0.609
Ni7 Ni 0.250 0.084 0.483
Ni8 Ni 0.500 0.070 0.688
Ni9 Ni 0.750 0.814 0.739
Ni10 Ni 0.000 0.930 0.312
Ni11 Ni 0.250 0.686 0.239
Ni12 Ni 0.750 0.416 0.983
Ni13 Ni 0.000 0.430 0.188
Ni14 Ni 0.750 0.314 0.761
Ce2 Ce 0.250 0.255 0.940
Ni15 Ni 0.250 0.451 0.391
Cd3 Cd 0.250 0.865 0.863
Ce3 Ce 0.750 0.745 0.060
Ni16 Ni 0.250 0.584 0.017
Cd4 Cd 0.250 0.365 0.637
Ni17 Ni 0.500 0.930 0.312
Ni18 Ni 0.500 0.430 0.188
Ni19 Ni 0.750 0.049 0.891
Ce4 Ce 0.250 0.755 0.560
Ni20 Ni 0.500 0.570 0.812
```

Record 4
Density functional theory data (GGA-PBE) for an optimized crystal structure of AlGeSbI2.

For the distance to the lowest polymorph of the same formula, the calculation gives 10 meV/atom. As for the space group: P4/mmm, No. 123.

Cell and atoms, written as CIF:
```
data_AlGeSbI2
_cell_length_a 5.428
_cell_length_b 5.428
_cell_length_c 5.541
_cell_angle_alpha 90.00
_cell_angle_beta 90.00
_cell_angle_gamma 90.00
_symmetry_space_group_name_H-M 'P 1'
_symmetry_Int_Tables_number 1
loop_
_symmetry_equiv_pos_as_xyz
'x,y,z'
loop_
_atom_site_label
_atom_site_type_symbol
_atom_site_fract_x
_atom_site_fract_y
_atom_site_fract_z
Al1 Al 0.000 0.000 0.000
I1 I 0.000 0.500 0.000
Ge1 Ge 0.500 0.500 0.500
I2 I 0.500 0.000 0.000
Sb1 Sb 0.000 0.000 0.500
```

Record 5
Density functional theory data (GGA-PBE) for an optimized crystal structure of Cd2TeW.

The total DFT energy (no corrections) comes out at -4.11 eV/atom. As for the space group: P4mm, No. 99.

Cell and atoms, written as CIF:
```
data_Cd2TeW
_cell_length_a 3.207
_cell_length_b 3.207
_cell_length_c 9.053
_cell_angle_alpha 90.00
_cell_angle_beta 90.00
_cell_angle_gamma 90.00
_symmetry_space_group_name_H-M 'P 1'
_symmetry_Int_Tables_number 1
loop_
_symmetry_equiv_pos_as_xyz
'x,y,z'
loop_
_atom_site_label
_atom_site_type_symbol
_atom_site_fract_x
_atom_site_fract_y
_atom_site_fract_z
Cd1 Cd 0.000 0.000 0.965
Te1 Te 0.000 0.000 0.573
W1 W 0.500 0.500 0.749
Cd2 Cd 0.500 0.500 0.213
```

Record 6
Density functional theory data (GGA-PBE) for an optimized crystal structure of PuCrGa2.

As for the energy of formation from the pure elements: -0.1088 eV per atom. As for the space group: P4/mmm, No. 123.

Cell and atoms, written as CIF:
```
data_PuCrGa2
_cell_length_a 3.056
_cell_length_b 3.056
_cell_length_c 7.529
_cell_angle_alpha 90.00
_cell_angle_beta 90.00
_cell_angle_gamma 90.00
_symmetry_space_group_name_H-M 'P 1'
_symmetry_Int_Tables_number 1
loop_
_symmetry_equiv_pos_as_xyz
'x,y,z'
loop_
_atom_site_label
_atom_site_type_symbol
_atom_site_fract_x
_atom_site_fract_y
_atom_site_fract_z
Pu1 Pu 0.500 0.500 0.500
Ga1 Ga 0.000 0.000 0.798
Cr1 Cr 0.500 0.500 0.000
Ga2 Ga 0.000 0.000 0.202
```